## Pu2Si6Tc (PBE)

Data for an optimized crystal structure of Pu2Si6Tc.

Structure (CIF):
```
data_Pu2Si6Tc
_cell_length_a 5.7300
_cell_length_b 5.7300
_cell_length_c 5.2284
_cell_angle_alpha 90.00
_cell_angle_beta 90.00
_cell_angle_gamma 120.00
_symmetry_space_group_name_H-M 'P -3 m 1'
_symmetry_Int_Tables_number 164
_symmetry_space_group_name_Hall '-P 3 2"'
loop_
_atom_site_label
_atom_site_type_symbol
_atom_site_fract_x
_atom_site_fract_y
_atom_site_fract_z
Pu1 Pu 0.3333 0.6667 0.2161
Si1 Si 0.1841 0.3681 0.6926
Tc1 Tc 0.0000 0.0000 0.0000
```

Values from the calculation:
- uncorrected energy (eV for the cell shown) = -75.679
- energy relative to the elements, uncorrected (eV per atom) = -0.4568
- DOS at the Fermi energy (states/eV/atom) = 1.842

***

## MgTi (PBE)

Data for an optimized crystal structure of MgTi.

Structure (CIF):
```
data_MgTi
_cell_length_a 5.9839
_cell_length_b 4.7604
_cell_length_c 8.3400
_cell_angle_alpha 90.00
_cell_angle_beta 100.48
_cell_angle_gamma 90.00
_symmetry_space_group_name_H-M 'P 1 21/m 1'
_symmetry_Int_Tables_number 11
loop_
_symmetry_equiv_pos_as_xyz
'x,y,z'
'-x,-y,-z'
'-x,y+1/2,-z'
'x,-y+1/2,z'
loop_
_atom_site_label
_atom_site_type_symbol
_atom_site_fract_x
_atom_site_fract_y
_atom_site_fract_z
Mg1 Mg 0.0240 0.2500 0.1082
Mg2 Mg 0.3139 0.7500 0.2340
Mg3 Mg 0.4685 0.7500 0.8900
Ti1 Ti 0.1326 0.7500 0.5482
Ti2 Ti 0.1816 0.2500 0.7400
Ti3 Ti 0.3490 0.2500 0.4504
```

Values from the calculation:
- uncorrected energy (eV for the cell shown) = -55.655
- formation enthalpy at 0 K (eV per atom) = 0.11
- DOS at the Fermi energy (states/eV/atom) = 0.860

***

## AlOsAu2 (PBE)

Data for an optimized crystal structure of AlOsAu2.

Structure (CIF):
```
data_AlOsAu2
_cell_length_a 2.8788
_cell_length_b 2.8788
_cell_length_c 26.8827
_cell_angle_alpha 90.00
_cell_angle_beta 90.00
_cell_angle_gamma 120.00
_symmetry_space_group_name_H-M 'R -3 m'
_symmetry_Int_Tables_number 166
_symmetry_space_group_name_Hall '-R 3 2"'
loop_
_atom_site_label
_atom_site_type_symbol
_atom_site_fract_x
_atom_site_fract_y
_atom_site_fract_z
Al1 Al 0.0000 0.0000 0.0000
Os1 Os 0.0000 0.0000 0.5000
Au1 Au 0.0000 0.0000 0.2549
```

Values from the calculation:
- uncorrected energy (eV for the cell shown) = -61.576
- formation enthalpy at 0 K (eV per atom) = 0.25
- DOS at the Fermi energy (states/eV/atom) = 0.729

***

## KTaCl3 (PBE)

Data for an optimized crystal structure of KTaCl3.

Structure (CIF):
```
data_KTaCl3
_cell_length_a 5.0172
_cell_length_b 5.0172
_cell_length_c 5.0172
_cell_angle_alpha 90.00
_cell_angle_beta 90.00
_cell_angle_gamma 90.00
_symmetry_space_group_name_H-M 'P m -3 m'
_symmetry_Int_Tables_number 221
_symmetry_space_group_name_Hall '-P 4 2 3'
loop_
_atom_site_label
_atom_site_type_symbol
_atom_site_fract_x
_atom_site_fract_y
_atom_site_fract_z
K1 K 0.0000 0.0000 0.0000
Ta1 Ta 0.5000 0.5000 0.5000
Cl1 Cl 0.0000 0.5000 0.5000
```

Values from the calculation:
- uncorrected energy (eV for the cell shown) = -22.905
- energy relative to the elements, uncorrected (eV per atom) = -0.8831
- DOS at the Fermi energy (states/eV/atom) = 0.492
- energy above the lowest structure with this stoichiometry (meV per atom) = 0